Record 1
# PmDySbAs | Alexandria | GGA-PBE | relaxed
data_PmDySbAs
_cell_length_a 4.328
_cell_length_b 4.328
_cell_length_c 6.088
_cell_angle_alpha 90.00
_cell_angle_beta 90.00
_cell_angle_gamma 90.00
_symmetry_space_group_name_H-M 'P 1'
_symmetry_Int_Tables_number 1
loop_
_symmetry_equiv_pos_as_xyz
'x,y,z'
loop_
_atom_site_label
_atom_site_fract_x
_atom_site_fract_y
_atom_site_fract_z
Pm1 0.000 0.000 0.000
Dy1 0.500 0.500 0.500
Sb1 0.500 0.500 0.000
As1 0.000 0.000 0.500
# Density of states at the Fermi level, states/eV/cell: 0.55
# Uncorrected formation energy, kJ/mol of formula units: -493

Record 2
# CrFe3 | Alexandria | GGA-PBE | relaxed
data_CrFe3
_cell_length_a 2.451
_cell_length_b 2.451
_cell_length_c 8.029
_cell_angle_alpha 90.00
_cell_angle_beta 90.00
_cell_angle_gamma 108.53
_symmetry_space_group_name_H-M 'P 1'
_symmetry_Int_Tables_number 1
loop_
_symmetry_equiv_pos_as_xyz
'x,y,z'
loop_
_atom_site_label
_atom_site_fract_x
_atom_site_fract_y
_atom_site_fract_z
Cr1 0.000 0.000 0.000
Fe1 0.000 0.000 0.500
Fe2 0.500 0.500 0.249
Fe3 0.500 0.500 0.751
# Formation energy, eV per atom: 0.025
# Density of states at the Fermi level, states/eV/cell: 2.50

Record 3
# Mn10Co6N | Alexandria | GGA-PBE | relaxed
data_Mn10Co6N
_cell_length_a 6.951
_cell_length_b 6.951
_cell_length_c 4.589
_cell_angle_alpha 90.00
_cell_angle_beta 90.00
_cell_angle_gamma 120.00
_symmetry_space_group_name_H-M 'P 1'
_symmetry_Int_Tables_number 1
loop_
_symmetry_equiv_pos_as_xyz
'x,y,z'
loop_
_atom_site_label
_atom_site_fract_x
_atom_site_fract_y
_atom_site_fract_z
Mn1 0.000 0.235 0.247
Mn2 0.000 0.765 0.753
Mn3 0.235 0.000 0.247
Mn4 0.235 0.235 0.753
Mn5 0.333 0.667 0.000
Mn6 0.333 0.667 0.500
Mn7 0.667 0.333 0.000
Mn8 0.667 0.333 0.500
Mn9 0.765 0.000 0.753
Mn10 0.765 0.765 0.247
Co1 0.000 0.408 0.740
Co2 0.000 0.592 0.260
Co3 0.408 0.000 0.740
Co4 0.408 0.408 0.260
Co5 0.592 0.000 0.260
Co6 0.592 0.592 0.740
N1 0.000 0.000 0.000
# Density of states at the Fermi level, states/eV/cell: 21.32
# Uncorrected formation energy, kJ/mol of formula units: 133

Record 4
# Pr3Pb5S12 | Alexandria | GGA-PBE | relaxed
data_Pr3Pb5S12
_cell_length_a 14.304
_cell_length_b 14.304
_cell_length_c 14.304
_cell_angle_alpha 109.47
_cell_angle_beta 109.47
_cell_angle_gamma 109.47
_symmetry_space_group_name_H-M 'P 1'
_symmetry_Int_Tables_number 1
loop_
_symmetry_equiv_pos_as_xyz
'x,y,z'
loop_
_atom_site_label
_atom_site_fract_x
_atom_site_fract_y
_atom_site_fract_z
Pr1 0.125 0.250 0.375
Pr2 0.125 0.375 0.750
Pr3 0.250 0.375 0.125
Pr4 0.250 0.875 0.625
Pr5 0.375 0.125 0.250
Pr6 0.375 0.750 0.125
Pr7 0.625 0.250 0.875
Pr8 0.625 0.875 0.750
Pr9 0.750 0.125 0.375
Pr10 0.750 0.625 0.875
Pr11 0.875 0.625 0.250
Pr12 0.875 0.750 0.625
Pb1 0.000 0.000 0.000
Pb2 0.000 0.000 0.500
Pb3 0.000 0.500 0.000
Pb4 0.000 0.500 0.500
Pb5 0.125 0.750 0.875
Pb6 0.125 0.875 0.250
Pb7 0.250 0.125 0.875
Pb8 0.250 0.625 0.375
Pb9 0.375 0.250 0.625
Pb10 0.375 0.625 0.750
Pb11 0.500 0.000 0.000
Pb12 0.500 0.000 0.500
Pb13 0.500 0.500 0.000
Pb14 0.500 0.500 0.500
Pb15 0.625 0.375 0.250
Pb16 0.625 0.750 0.375
Pb17 0.750 0.375 0.625
Pb18 0.750 0.875 0.125
Pb19 0.875 0.125 0.750
Pb20 0.875 0.250 0.125
S1 0.052 0.226 0.140
S2 0.052 0.326 0.913
S3 0.087 0.640 0.413
S4 0.087 0.726 0.674
S5 0.087 0.860 0.413
S6 0.087 0.948 0.674
S7 0.140 0.052 0.226
S8 0.140 0.587 0.913
S9 0.174 0.226 0.587
S10 0.174 0.448 0.587
S11 0.226 0.140 0.052
S12 0.226 0.587 0.174
S13 0.274 0.326 0.913
S14 0.274 0.448 0.360
S15 0.326 0.913 0.052
S16 0.326 0.913 0.274
S17 0.360 0.274 0.448
S18 0.360 0.587 0.913
S19 0.413 0.087 0.640
S20 0.413 0.087 0.860
S21 0.413 0.826 0.552
S22 0.413 0.826 0.774
S23 0.448 0.360 0.274
S24 0.448 0.587 0.174
S25 0.552 0.413 0.826
S26 0.552 0.640 0.726
S27 0.587 0.174 0.226
S28 0.587 0.174 0.448
S29 0.587 0.913 0.140
S30 0.587 0.913 0.360
S31 0.640 0.413 0.087
S32 0.640 0.726 0.552
S33 0.674 0.087 0.726
S34 0.674 0.087 0.948
S35 0.726 0.552 0.640
S36 0.726 0.674 0.087
S37 0.774 0.413 0.826
S38 0.774 0.860 0.948
S39 0.826 0.552 0.413
S40 0.826 0.774 0.413
S41 0.860 0.413 0.087
S42 0.860 0.948 0.774
S43 0.913 0.052 0.326
S44 0.913 0.140 0.587
S45 0.913 0.274 0.326
S46 0.913 0.360 0.587
S47 0.948 0.674 0.087
S48 0.948 0.774 0.860
# Density of states at the Fermi level, states/eV/cell: 35.30
# Uncorrected formation energy, kJ/mol of formula units: -1611

Record 5
# Pu2NbAl | Alexandria | GGA-PBE | relaxed
data_Pu2NbAl
_cell_length_a 4.208
_cell_length_b 4.208
_cell_length_c 4.646
_cell_angle_alpha 90.00
_cell_angle_beta 90.00
_cell_angle_gamma 90.00
_symmetry_space_group_name_H-M 'P 1'
_symmetry_Int_Tables_number 1
loop_
_symmetry_equiv_pos_as_xyz
'x,y,z'
loop_
_atom_site_label
_atom_site_fract_x
_atom_site_fract_y
_atom_site_fract_z
Pu1 0.000 0.500 0.000
Pu2 0.500 0.000 0.000
Nb1 0.000 0.000 0.500
Al1 0.500 0.500 0.500
# Formation energy, eV per atom: -0.012
# Energy relative to the lowest polymorph listed for this composition, meV/atom: 0
# Density of states at the Fermi level, states/eV/cell: 8.79

Record 6
# ZrFeNi | Alexandria | GGA-PBE | relaxed
data_ZrFeNi
_cell_length_a 4.168
_cell_length_b 4.168
_cell_length_c 4.168
_cell_angle_alpha 60.00
_cell_angle_beta 60.00
_cell_angle_gamma 60.00
_symmetry_space_group_name_H-M 'P 1'
_symmetry_Int_Tables_number 1
loop_
_symmetry_equiv_pos_as_xyz
'x,y,z'
loop_
_atom_site_label
_atom_site_fract_x
_atom_site_fract_y
_atom_site_fract_z
Zr1 0.000 0.000 0.000
Fe1 0.500 0.500 0.500
Ni1 0.750 0.750 0.750
# Formation energy, eV per atom: 0.173
# Density of states at the Fermi level, states/eV/cell: 4.92

Record 7
# AlFeCu2 | Alexandria | GGA-PBE | relaxed
data_AlFeCu2
_cell_length_a 4.497
_cell_length_b 4.497
_cell_length_c 4.480
_cell_angle_alpha 102.53
_cell_angle_beta 102.53
_cell_angle_gamma 34.42
_symmetry_space_group_name_H-M 'P 1'
_symmetry_Int_Tables_number 1
loop_
_symmetry_equiv_pos_as_xyz
'x,y,z'
loop_
_atom_site_label
_atom_site_fract_x
_atom_site_fract_y
_atom_site_fract_z
Al1 0.000 0.000 0.000
Fe1 0.252 0.252 0.763
Cu1 0.498 0.498 0.501
Cu2 0.746 0.746 0.264
# Formation energy, eV per atom: -0.039
# Density of states at the Fermi level, states/eV/cell: 2.64

Record 8
# Pm2AlSnAu6 | Alexandria | GGA-PBE | relaxed
data_Pm2AlSnAu6
_cell_length_a 5.493
_cell_length_b 6.797
_cell_length_c 6.959
_cell_angle_alpha 78.52
_cell_angle_beta 67.19
_cell_angle_gamma 69.86
_symmetry_space_group_name_H-M 'P 1'
_symmetry_Int_Tables_number 1
loop_
_symmetry_equiv_pos_as_xyz
'x,y,z'
loop_
_atom_site_label
_atom_site_fract_x
_atom_site_fract_y
_atom_site_fract_z
Pm1 0.003 0.240 0.253
Pm2 0.997 0.760 0.747
Al1 0.500 0.500 0.000
Sn1 0.500 0.000 0.500
Au1 0.004 0.754 0.190
Au2 0.354 0.431 0.400
Au3 0.492 0.821 0.162
Au4 0.508 0.179 0.838
Au5 0.646 0.569 0.600
Au6 0.996 0.246 0.810
# Formation energy, eV per atom: -0.515
# Density of states at the Fermi level, states/eV/cell: 4.53

Record 9
# HfInSe2 | Alexandria | GGA-PBE | relaxed
data_HfInSe2
_cell_length_a 9.059
_cell_length_b 9.059
_cell_length_c 9.059
_cell_angle_alpha 23.50
_cell_angle_beta 23.50
_cell_angle_gamma 23.50
_symmetry_space_group_name_H-M 'P 1'
_symmetry_Int_Tables_number 1
loop_
_symmetry_equiv_pos_as_xyz
'x,y,z'
loop_
_atom_site_label
_atom_site_fract_x
_atom_site_fract_y
_atom_site_fract_z
Hf1 0.000 0.000 0.000
In1 0.163 0.163 0.163
Se1 0.395 0.395 0.395
Se2 0.605 0.605 0.605
# Density of states at the Fermi level, states/eV/cell: 1.94
# Uncorrected formation energy, kJ/mol of formula units: -364

Record 10
# Tl2POs | Alexandria | GGA-PBE | relaxed
data_Tl2POs
_cell_length_a 5.128
_cell_length_b 5.128
_cell_length_c 5.128
_cell_angle_alpha 129.16
_cell_angle_beta 129.16
_cell_angle_gamma 74.75
_symmetry_space_group_name_H-M 'P 1'
_symmetry_Int_Tables_number 1
loop_
_symmetry_equiv_pos_as_xyz
'x,y,z'
loop_
_atom_site_label
_atom_site_fract_x
_atom_site_fract_y
_atom_site_fract_z
Tl1 0.000 0.000 0.000
Tl2 0.750 0.250 0.500
P1 0.500 0.500 0.000
Os1 0.250 0.750 0.500
# Formation energy, eV per atom: 1.070
# Energy relative to the lowest polymorph listed for this composition, meV/atom: 912
# Density of states at the Fermi level, states/eV/cell: 4.50

Record 11
# CaNdCd17 | Alexandria | GGA-PBE | relaxed
data_CaNdCd17
_cell_length_a 7.710
_cell_length_b 7.710
_cell_length_c 7.710
_cell_angle_alpha 82.14
_cell_angle_beta 82.14
_cell_angle_gamma 82.14
_symmetry_space_group_name_H-M 'P 1'
_symmetry_Int_Tables_number 1
loop_
_symmetry_equiv_pos_as_xyz
'x,y,z'
loop_
_atom_site_label
_atom_site_fract_x
_atom_site_fract_y
_atom_site_fract_z
Ca1 0.000 0.000 0.000
Nd1 0.664 0.664 0.664
Cd1 0.032 0.334 0.636
Cd2 0.032 0.636 0.334
Cd3 0.197 0.683 0.683
Cd4 0.238 0.238 0.238
Cd5 0.322 0.322 0.850
Cd6 0.322 0.850 0.322
Cd7 0.334 0.032 0.636
Cd8 0.334 0.636 0.032
Cd9 0.437 0.437 0.437
Cd10 0.525 0.965 0.965
Cd11 0.636 0.032 0.334
Cd12 0.636 0.334 0.032
Cd13 0.683 0.197 0.683
Cd14 0.683 0.683 0.197
Cd15 0.850 0.322 0.322
Cd16 0.965 0.525 0.965
Cd17 0.965 0.965 0.525
# Formation energy, eV per atom: -0.142
# Density of states at the Fermi level, states/eV/cell: 6.67

Record 12
# InReSnSb2 | Alexandria | GGA-PBE | relaxed
data_InReSnSb2
_cell_length_a 5.544
_cell_length_b 5.544
_cell_length_c 5.406
_cell_angle_alpha 90.00
_cell_angle_beta 90.00
_cell_angle_gamma 90.00
_symmetry_space_group_name_H-M 'P 1'
_symmetry_Int_Tables_number 1
loop_
_symmetry_equiv_pos_as_xyz
'x,y,z'
loop_
_atom_site_label
_atom_site_fract_x
_atom_site_fract_y
_atom_site_fract_z
In1 0.000 0.000 0.000
Re1 0.500 0.500 0.500
Sn1 0.000 0.000 0.500
Sb1 0.000 0.500 0.000
Sb2 0.500 0.000 0.000
# Density of states at the Fermi level, states/eV/cell: 4.60
# Uncorrected formation energy, kJ/mol of formula units: 866

no.,volume (A^3/atom),spin magnetization (Bohr magnetons per cell),VASP energy (eV/atom)
1,28.50,0.00,-5.809
2,11.44,6.35,-8.728
3,11.29,16.09,-8.311
4,28.16,0.00,-4.956
5,20.57,9.65,-10.631
6,17.07,2.27,-7.424
7,12.47,2.14,-5.139
8,22.42,0.00,-4.206
9,25.95,0.00,-5.858
10,19.74,0.00,-4.273
11,23.50,0.00,-1.317
12,33.23,3.92,-3.692